*i*
GGA-PBE BaCaBe, relaxed; volume = 40.1 Å³ per atom; N(E_F) = 0.984 states/eV per atom
1.0
4.4018 0.0000 0.0000
-2.2009 3.8120 0.0000
0.0000 0.0000 7.1708
Ba Ca Be
1 1 1
direct
0.0000 0.0000 0.0000
0.6667 0.3333 0.4895
0.3333 0.6667 0.2819

*ii*
GGA-PBE BaCaBe, relaxed; volume = 36.6 Å³ per atom; N(E_F) = 1.691 states/eV per atom
1.0
0.0000 3.8007 3.8007
3.8007 0.0000 3.8007
3.8007 3.8007 0.0000
Ba Ca Be
1 1 1
direct
0.0000 0.0000 0.0000
0.2500 0.2500 0.2500
0.7500 0.7500 0.7500

The structure with the most favorable energy is *i*; the runner-up is 0.549 eV/atom above it.

*i*
GGA-PBE BaCa2BeTe, relaxed; volume = 37.4 Å³ per atom; N(E_F) = 0.448 states/eV per atom
1.0
6.0417 0.0000 0.0000
0.0000 6.0417 0.0000
0.0000 0.0000 5.1243
Ba Ca Be Te
1 2 1 1
direct
0.0000 0.0000 0.0000
0.0000 0.5000 0.5000
0.5000 0.0000 0.5000
0.5000 0.5000 0.0000
0.5000 0.5000 0.5000

*ii*
GGA-PBE BaCa2BeTe, relaxed; volume = 45.1 Å³ per atom; N(E_F) = 1.210 states/eV per atom
1.0
5.8236 0.0000 0.0000
0.0000 5.8236 0.0000
0.0000 0.0000 6.6425
Ba Ca Be Te
1 2 1 1
direct
0.0000 0.0000 0.0000
0.0000 0.5000 0.5000
0.5000 0.0000 0.5000
0.5000 0.5000 0.0000
0.0000 0.0000 0.5000

The structure with the most favorable energy is *ii*; the runner-up is 0.023 eV/atom above it.

*i*
GGA-PBE BaBeCd, relaxed; volume = 25.8 Å³ per atom; N(E_F) = 0.679 states/eV per atom
1.0
-1.7744 1.7744 6.1558
1.7744 -1.7744 6.1558
1.7744 1.7744 -6.1558
Ba Be Cd
1 1 1
direct
0.0000 0.0000 0.0000
0.7034 0.7034 0.0000
0.2795 0.2795 0.0000

*ii*
GGA-PBE BaBeCd, relaxed; volume = 30.8 Å³ per atom; N(E_F) = 1.297 states/eV per atom
1.0
0.0000 3.5892 3.5892
3.5892 0.0000 3.5892
3.5892 3.5892 0.0000
Ba Be Cd
1 1 1
direct
0.0000 0.0000 0.0000
0.7500 0.7500 0.7500
0.5000 0.5000 0.5000

*iii*
GGA-PBE BaBeCd, relaxed; volume = 37.3 Å³ per atom; N(E_F) = 1.193 states/eV per atom
1.0
0.0000 3.8230 3.8230
3.8230 0.0000 3.8230
3.8230 3.8230 0.0000
Ba Be Cd
1 1 1
direct
0.0000 0.0000 0.0000
0.2500 0.2500 0.2500
0.7500 0.7500 0.7500

*iv*
GGA-PBE BaBeCd, relaxed; volume = 33.5 Å³ per atom; N(E_F) = 1.353 states/eV per atom
1.0
0.0000 3.6885 3.6885
3.6885 0.0000 3.6885
3.6885 3.6885 0.0000
Ba Be Cd
1 1 1
direct
0.0000 0.0000 0.0000
0.5000 0.5000 0.5000
0.7500 0.7500 0.7500

The structure with the most favorable energy is *i*; the runner-up is 0.074 eV/atom above it.

*i*
GGA-PBE BaBeCd3, relaxed; volume = 62.4 Å³ per atom; N(E_F) = 1.404 states/eV per atom
1.0
6.7823 0.0000 0.0000
0.0000 6.7823 0.0000
0.0000 0.0000 6.7823
Ba Be Cd
1 1 3
direct
0.0000 0.0000 0.0000
0.5000 0.5000 0.5000
0.0000 0.0000 0.5000
0.0000 0.5000 0.0000
0.5000 0.0000 0.0000

*ii*
GGA-PBE BaBeCd3, relaxed; volume = 25.5 Å³ per atom; N(E_F) = 0.573 states/eV per atom
1.0
5.0322 0.0000 0.0000
0.0000 5.0322 0.0000
0.0000 0.0000 5.0322
Ba Be Cd
1 1 3
direct
0.0000 0.0000 0.0000
0.5000 0.5000 0.5000
0.0000 0.5000 0.5000
0.5000 0.0000 0.5000
0.5000 0.5000 0.0000

The structure with the most favorable energy is *ii*; the runner-up is 1.165 eV/atom above it.

*i*
GGA-PBE BaBe2Cl, relaxed; volume = 23.7 Å³ per atom; N(E_F) = 0.470 states/eV per atom
1.0
4.8815 -2.1800 0.0000
4.8815 2.1800 0.0000
-0.0085 0.0000 4.4552
Ba Be Cl
1 2 1
direct
0.0000 0.0000 0.0000
0.2771 0.2771 0.5001
0.7229 0.7229 0.4999
0.5000 0.5000 0.5000

*ii*
GGA-PBE BaBe2Cl, relaxed; volume = 25.9 Å³ per atom; N(E_F) = 0.532 states/eV per atom
1.0
4.1956 0.0000 0.0000
0.0000 4.1956 0.0000
0.0000 0.0000 5.8805
Ba Be Cl
1 2 1
direct
0.0000 0.0000 0.0000
0.0000 0.5000 0.5000
0.5000 0.0000 0.5000
0.5000 0.5000 0.0000

*iii*
GGA-PBE BaBe2Cl, relaxed; volume = 25.5 Å³ per atom; N(E_F) = 0.712 states/eV per atom
1.0
0.0000 3.7090 3.7090
3.7090 0.0000 3.7090
3.7090 3.7090 0.0000
Ba Be Cl
1 2 1
direct
0.0000 0.0000 0.0000
0.2500 0.2500 0.2500
0.7500 0.7500 0.7500
0.5000 0.5000 0.5000

The structure with the most favorable energy is *i*; the runner-up is 0.401 eV/atom above it.

*i*
GGA-PBE BaBe2Cl, relaxed; volume = 29.5 Å³ per atom; N(E_F) = 0.459 states/eV per atom
1.0
4.4992 0.0000 0.0000
0.0000 4.4992 0.0000
0.0000 0.0000 5.8364
Ba Be Cl
1 2 1
direct
0.0000 0.0000 0.0000
0.5000 0.5000 0.3131
0.5000 0.5000 0.6869
0.0000 0.0000 0.5000

*ii*
GGA-PBE BaBe2Cl, relaxed; volume = 26.1 Å³ per atom; N(E_F) = 0.473 states/eV per atom
1.0
-2.0861 2.0861 5.9901
2.0861 -2.0861 5.9901
2.0861 2.0861 -5.9901
Ba Be Cl
1 2 1
direct
0.0000 0.0000 0.0000
0.2500 0.7500 0.5000
0.7500 0.2500 0.5000
0.5000 0.5000 0.0000

*iii*
GGA-PBE BaBe2Cl, relaxed; volume = 21.2 Å³ per atom; N(E_F) = 0.454 states/eV per atom
1.0
3.4796 0.0000 0.0000
0.0000 3.4796 0.0000
0.0000 0.0000 6.9925
Ba Be Cl
1 2 1
direct
0.0000 0.0000 0.0000
0.0000 0.0000 0.4006
0.5000 0.5000 0.3642
0.5000 0.5000 0.6923

The structure with the most favorable energy is *iii*; the runner-up is 0.143 eV/atom above it.

*i*
GGA-PBE BaBeCl2, relaxed; volume = 27.5 Å³ per atom; N(E_F) = 0.000 states/eV per atom
1.0
0.0000 3.8034 3.8034
3.8034 0.0000 3.8034
3.8034 3.8034 0.0000
Ba Be Cl
1 1 2
direct
0.0000 0.0000 0.0000
0.5000 0.5000 0.5000
0.2500 0.2500 0.2500
0.7500 0.7500 0.7500

*ii*
GGA-PBE BaBeCl2, relaxed; volume = 30.1 Å³ per atom
1.0
5.1841 -2.4394 0.0000
5.1841 2.4394 0.0000
-0.0036 0.0000 4.7542
Ba Be Cl
1 1 2
direct
0.0000 0.0000 0.0000
0.7863 0.7863 0.5000
0.3044 0.3044 0.9984
0.5967 0.5967 0.4993

The structure with the most favorable energy is *ii*; the runner-up is 0.134 eV/atom above it.

*i*
GGA-PBE BaBeCl2, relaxed; volume = 26.8 Å³ per atom; N(E_F) = 0.008 states/eV per atom
1.0
5.0442 0.0000 0.0000
0.0000 5.0442 0.0000
0.0000 0.0000 4.2159
Ba Be Cl
1 1 2
direct
0.0000 0.0000 0.0000
0.5000 0.5000 0.0000
0.0000 0.5000 0.5000
0.5000 0.0000 0.5000

*ii*
GGA-PBE BaBeCl2, relaxed; volume = 30.1 Å³ per atom; N(E_F) = 0.313 states/eV per atom
1.0
2.0255 1.1694 8.4733
-2.0255 1.1694 8.4733
0.0000 -2.3389 8.4733
Ba Be Cl
1 1 2
direct
0.0000 0.0000 0.0000
0.5000 0.5000 0.5000
0.4221 0.4221 0.4221
0.5779 0.5779 0.5779

*iii*
GGA-PBE BaBeCl2, relaxed; volume = 29.9 Å³ per atom; N(E_F) = 0.618 states/eV per atom
1.0
-3.0442 3.0442 6.4536
3.0442 -3.0442 6.4536
3.0442 3.0442 -6.4536
Ba Be Cl
2 2 4
direct
0.0000 0.0000 0.0000
0.7500 0.2500 0.5000
0.2500 0.7500 0.5000
0.5000 0.5000 0.0000
0.2631 0.6250 0.1381
0.3750 0.5131 0.6381
0.4869 0.1250 0.8619
0.8750 0.7369 0.3619

*iv*
GGA-PBE BaBeCl2, relaxed; volume = 27.3 Å³ per atom; N(E_F) = 0.000 states/eV per atom
1.0
0.0000 3.7929 3.7929
3.7929 0.0000 3.7929
3.7929 3.7929 0.0000
Ba Be Cl
1 1 2
direct
0.0000 0.0000 0.0000
0.2500 0.2500 0.2500
0.5000 0.5000 0.5000
0.7500 0.7500 0.7500

The structure with the most favorable energy is *i*; the runner-up is 0.171 eV/atom above it.